# ScCr3 PBE relaxed
# Energy of formation from the pure elements = 262 meV per atom
# Crystal system = tetragonal
data_ScCr3
_symmetry_space_group_name_H-M 'I 4/m m m'
_symmetry_Int_Tables_number 139
_symmetry_space_group_name_Hall '-I 4 2'
_cell_length_a 4.3884
_cell_length_b 4.3884
_cell_length_c 6.1937
_cell_angle_alpha 90.00
_cell_angle_beta 90.00
_cell_angle_gamma 90.00
loop_
_atom_site_label
_atom_site_type_symbol
_atom_site_fract_x
_atom_site_fract_y
_atom_site_fract_z
Sc1 Sc 0.0000 0.0000 0.0000
Cr1 Cr 0.0000 0.0000 0.5000
Cr2 Cr 0.0000 0.5000 0.2500